First-principles (PBE) data for a relaxed SrEuNi4 crystal, as listed in Alexandria via LeMat-Bulk.

Calculated values
- E_tot: -5.92 eV per atom
- Energy of formation from the pure elements: -0.071 eV per atom

Cell lengths 7.363, 7.363, 7.363 Å; angles 90.00, 90.00, 90.00 degrees
Space group F-43m (No. 216)
Asymmetric unit:
Sr (0.000, 0.000, 0.000)
Eu (0.250, 0.250, 0.250)
Ni (0.124, 0.124, 0.624)